Below is an optimized crystal structure of HfRh, with properties calculated at the PBE-GGA level.

Computed properties:
symmetry	Fddd
ΔE_f	-0.66	eV per atom
V	18.7	Å³ per atom

Structure (POSCAR):
```
HfRh
1.0
-6.365 2.068 2.186
1.154 -3.929 7.080
4.196 8.595 4.086
Hf Rh
16 16
direct
0.000 0.795 0.000
0.000 0.205 0.000
0.250 0.955 0.250
0.250 0.545 0.250
0.000 0.295 0.500
0.000 0.705 0.500
0.250 0.455 0.750
0.250 0.045 0.750
0.500 0.795 0.500
0.500 0.205 0.500
0.750 0.955 0.750
0.750 0.545 0.750
0.500 0.295 0.000
0.500 0.705 0.000
0.750 0.455 0.250
0.750 0.045 0.250
0.300 0.000 0.000
0.700 0.000 0.000
0.950 0.750 0.250
0.550 0.750 0.250
0.300 0.500 0.500
0.700 0.500 0.500
0.950 0.250 0.750
0.550 0.250 0.750
0.800 0.000 0.500
0.200 0.000 0.500
0.450 0.750 0.750
0.050 0.750 0.750
0.800 0.500 0.000
0.200 0.500 0.000
0.450 0.250 0.250
0.050 0.250 0.250
```

Below is an optimized crystal structure of PmDy3Rh, with properties calculated at the PBE-GGA level.

Computed properties:
symmetry	Pmn2_1
excess energy over the best structure of this formula in the dataset	0.0	meV per atom
ΔE_f	-0.29	eV per atom
V	30.7	Å³ per atom

Structure (POSCAR):
```
PmDy3Rh
1.0
-5.101 -3.236 1.359
-1.205 -0.775 -6.370
4.066 -6.405 0.011
Pm Dy Rh
2 6 2
direct
0.434 0.323 0.701
0.934 0.030 0.201
0.417 0.329 0.201
0.426 0.859 0.952
0.926 0.494 0.452
0.917 0.023 0.701
0.926 0.494 0.949
0.426 0.859 0.449
0.175 0.682 0.701
0.675 0.671 0.201
```

Below is an optimized crystal structure of Ca2ScCdCl, with properties calculated at the PBE-GGA level.

Computed properties:
ΔE_f (raw)	-91	meV/atom
symmetry	P4/mmm
V	37.9	Å³ per atom

Structure (POSCAR):
```
Ca2ScCdCl
1.0
5.952 0.000 0.000
0.000 5.353 0.000
0.000 0.000 5.952
Sc Ca Cl Cd
1 2 1 1
direct
0.000 0.500 0.000
0.000 0.000 0.500
0.500 0.000 0.000
0.500 0.500 0.500
0.000 0.000 0.000
```

Below is an optimized crystal structure of RbCuOs3, with properties calculated at the PBE-GGA level.

Computed properties:
symmetry	Pm-3m
excess energy over the best structure of this formula in the dataset	1787.2	meV per atom
ΔE_f	4.22	eV per atom
V	21.6	Å³ per atom

Structure (POSCAR):
```
RbCuOs3
1.0
4.760 0.000 0.000
0.000 4.760 0.000
0.000 0.000 4.760
Os Cu Rb
3 1 1
direct
0.000 0.500 0.000
0.000 0.000 0.500
0.500 0.000 0.000
0.500 0.500 0.500
0.000 0.000 0.000
```

Below is an optimized crystal structure of YZr3O, with properties calculated at the PBE-GGA level.

Computed properties:
ΔE_f (raw)	-972	meV/atom
symmetry	Pm-3m
excess energy over the best structure of this formula in the dataset	0.0	meV per atom
V	20.1	Å³ per atom

Structure (POSCAR):
```
YZr3O
1.0
4.647 0.000 0.000
0.000 4.647 0.000
0.000 0.000 4.647
Y O Zr
1 1 3
direct
0.500 0.500 0.500
0.000 0.000 0.000
0.000 0.500 0.000
0.000 0.000 0.500
0.500 0.000 0.000
```

Below is an optimized crystal structure of LaPm2TmBi4, with properties calculated at the PBE-GGA level.

Computed properties:
symmetry	P2/m
ΔE_f	-0.92	eV per atom
V	33.9	Å³ per atom

Structure (POSCAR):
```
LaPm2TmBi4
1.0
4.584 0.000 0.000
0.000 7.933 -0.159
0.000 2.789 7.412
La Pm Tm Bi
1 2 1 4
direct
0.500 0.500 0.000
0.000 0.000 0.000
0.500 0.000 0.500
0.000 0.500 0.500
0.000 0.751 0.743
0.000 0.249 0.257
0.500 0.745 0.259
0.500 0.255 0.741
```

Below is an optimized crystal structure of CsDySiS4, with properties calculated at the PBE-GGA level.

Computed properties:
ΔE_f (raw)	-1439	meV/atom
symmetry	P2_1/m
excess energy over the best structure of this formula in the dataset	10.4	meV per atom
V	27.7	Å³ per atom

Structure (POSCAR):
```
CsDySiS4
1.0
6.402 0.000 -0.173
0.000 6.737 0.000
-2.741 0.000 9.067
Cs Dy Si S
2 2 2 8
direct
0.732 0.750 0.937
0.268 0.250 0.063
0.775 0.750 0.455
0.225 0.250 0.545
0.221 0.750 0.342
0.779 0.250 0.658
0.002 0.497 0.693
0.998 0.997 0.307
0.998 0.503 0.307
0.002 0.003 0.693
0.415 0.750 0.198
0.585 0.250 0.802
0.427 0.750 0.566
0.573 0.250 0.434
```

Below is an optimized crystal structure of TlSeO2, with properties calculated at the PBE-GGA level.

Computed properties:
ΔE_f (raw)	-682	meV/atom
symmetry	P1
excess energy over the best structure of this formula in the dataset	0.0	meV per atom
V	20.2	Å³ per atom

Structure (POSCAR):
```
TlSeO2
1.0
-2.334 -4.232 0.060
0.338 -0.156 -4.889
2.967 -1.646 0.249
Tl Se O
1 1 2
direct
0.590 0.956 0.499
0.076 0.447 0.000
0.109 0.099 0.001
0.725 0.497 0.001
```